! ThMgIr2, optimized geometry, DFT GGA-PBE; values from VASP
! Calculated total energy = -7.186 eV/atom
! Space-group type = No. 123
! Magnetic moment = 0.000 μB/atom
&SYSTEM
  ibrav = 0, nat = 4, ntyp = 3
/
ATOMIC_SPECIES
Mg 24.30 Mg.upf
Ir 192.22 Ir.upf
Th 232.04 Th.upf
ATOMIC_POSITIONS crystal
Mg 0.500 0.500 0.000
Ir 0.000 0.000 0.781
Ir 0.000 0.000 0.219
Th 0.500 0.500 0.500
CELL_PARAMETERS angstrom
-1.296 2.639 1.549
-2.843 -1.661 0.451
2.354 -2.390 6.043

! SbTe2Cl, optimized geometry, DFT GGA-PBE; values from VASP
! Formation energy from raw total energies = -0.09 eV/atom
! Calculated total energy = -3.155 eV/atom
! ΔE to the lowest computed polymorph = 166.1 meV per atom
! Space-group type = No. 166
! Magnetic moment = 0.000 μB/atom
&SYSTEM
  ibrav = 0, nat = 4, ntyp = 3
/
ATOMIC_SPECIES
Sb 121.76 Sb.upf
Te 127.60 Te.upf
Cl 35.45 Cl.upf
ATOMIC_POSITIONS crystal
Sb 0.500 0.500 0.500
Te 0.099 0.099 0.099
Te 0.901 0.901 0.901
Cl 0.000 0.000 0.000
CELL_PARAMETERS angstrom
2.456 0.000 9.087
-1.228 2.127 9.087
-1.228 -2.127 9.087

! Sr2TiS, optimized geometry, DFT GGA-PBE; values from VASP
! Formation energy from raw total energies = -0.43 eV/atom
! Calculated total energy = -4.273 eV/atom
! Space-group type = No. 122
! Magnetic moment = 0.619 μB/atom
&SYSTEM
  ibrav = 0, nat = 8, ntyp = 3
/
ATOMIC_SPECIES
Sr 87.62 Sr.upf
S 32.06 S.upf
Ti 47.87 Ti.upf
ATOMIC_POSITIONS crystal
Sr 0.465 0.125 0.250
Sr 0.285 0.625 0.250
Sr 0.375 0.535 0.750
Sr 0.875 0.715 0.750
S 0.500 0.500 0.000
S 0.250 0.750 0.500
Ti 0.000 0.000 0.000
Ti 0.750 0.250 0.500
CELL_PARAMETERS angstrom
11.140 0.000 0.000
0.000 11.140 0.000
5.570 5.570 2.344

! Gd2HoCu, optimized geometry, DFT GGA-PBE; values from VASP
! Calculated total energy = -8.791 eV/atom
! ΔE to the lowest computed polymorph = 493.9 meV per atom
! Space-group type = No. 166
! Magnetic moment = 3.725 μB/atom
&SYSTEM
  ibrav = 0, nat = 4, ntyp = 3
/
ATOMIC_SPECIES
Gd 157.25 Gd.upf
Ho 164.93 Ho.upf
Cu 63.55 Cu.upf
ATOMIC_POSITIONS crystal
Gd 0.082 0.082 0.753
Gd 0.918 0.918 0.247
Ho 0.500 0.500 0.500
Cu 0.000 0.000 0.000
CELL_PARAMETERS angstrom
-0.497 -1.472 3.079
2.672 -1.333 1.726
2.433 8.985 6.619